1.
This record from Alexandria describes a relaxed structure of Dy5Er4Co2. The functional is PBE.

a = 8.7592 Å, b = 3.5159 Å, c = 9.7939 Å
α = 90.00°, β = 93.31°, γ = 90.00°
Last column: nearest neighbours and their distance in Å.
Space group P2/m (No. 10)
Asymmetric unit:
Dy 0.0000 0.0000 0.0000  6 Dy 3.27-3.52, 4 Er 3.64
Dy 0.0216 0.0000 0.3344  5 Dy 3.27-3.65, 4 Er 3.53-3.60
Dy 0.3497 0.0000 0.8542  1 Co 2.69
Er 0.3155 0.5000 0.1795  2 Co 2.72
Er 0.3162 0.5000 0.5331  4 Co 2.80-2.84
Co 0.4617 0.0000 0.3535  1 Dy 2.69, 6 Er 2.72-2.84, 1 Co 2.91



2.
This record from Alexandria describes a relaxed structure of Dy2ErCo9. The functional is PBE.

a = 4.9609 Å, b = 4.9609 Å, c = 24.3688 Å
α = 90.00°, β = 90.00°, γ = 120.00°
Last column: nearest neighbours and their distance in Å.
Space group R-3m (No. 166, hexagonal axes)
Asymmetric unit:
Dy 0.0000 0.0000 0.1396  12 Co 2.86-3.09, 3 Dy 3.15
Er 0.0000 0.0000 0.0000  18 Co 2.86-3.17
Co 0.0000 0.0000 0.3347  6 Co 2.42-2.46
Co 0.0000 0.0000 0.5000  6 Co 2.54
Co 0.0023 0.5011 0.9190  7 Co 2.42-2.54



3.
This record from Alexandria describes a relaxed structure of Dy2ErCo2. The functional is PBE.

a = 10.9120 Å, b = 3.8801 Å, c = 6.0433 Å
α = 90.00°, β = 121.56°, γ = 90.00°
Last column: nearest neighbours and their distance in Å.
Space group C2/m (No. 12)
Asymmetric unit:
Dy 0.1932 0.0000 0.1853  4 Co 2.79-2.97
Er 0.0000 0.0000 0.5000  4 Co 2.71
Co 0.0169 0.5000 0.8277  1 Co 2.30

## Properties
polymorph energy (0 for the lowest one) = 0 meV/atom



4.
This record from Alexandria describes a relaxed structure of DyEr12Co6. The functional is PBE.

a = 9.6727 Å, b = 9.6727 Å, c = 9.6727 Å
α = 90.00°, β = 90.00°, γ = 90.00°
Last column: nearest neighbours and their distance in Å.
Space group Im-3 (No. 204)
Asymmetric unit:
Dy 0.0000 0.0000 0.0000  12 Er 3.52
Er 0.0000 0.3084 0.1936  3 Co 2.63-2.86
Co 0.0000 0.1140 0.5000  1 Co 2.21



5.
This record from Alexandria describes a relaxed structure of Dy3Er3Co2. The functional is PBE.

a = 3.6058 Å, b = 13.0206 Å, c = 18.0076 Å
α = 90.00°, β = 90.00°, γ = 90.00°
Last column: nearest neighbours and their distance in Å.
Space group Cmcm (No. 63)
Asymmetric unit:
Dy 0.0000 0.0647 0.0876  2 Co 2.69
Dy 0.0000 0.2747 0.2500  4 Co 2.84
Er 0.0000 0.3231 0.0647  2 Co 2.80
Er 0.0000 0.4492 0.7500  2 Co 2.74
Co 0.0000 0.3019 0.6415  4 Dy 2.69-2.84, 3 Er 2.74-2.80



6.
This record from Alexandria describes a relaxed structure of DyEr3Co. The functional is PBE.

a = 5.2241 Å, b = 5.2241 Å, c = 5.2241 Å
α = 90.00°, β = 90.00°, γ = 90.00°
Last column: nearest neighbours and their distance in Å.
Space group Pm-3m (No. 221)
Asymmetric unit:
Dy 0.0000 0.0000 0.0000  12 Er 3.69
Er 0.0000 0.5000 0.5000  2 Co 2.61
Co 0.5000 0.5000 0.5000  6 Er 2.61

## Properties
polymorph energy (0 for the lowest one) = 35 meV/atom



Energy relative to the elements readings, ordered: -5; -185; -169; -155; -76; -24 meV/atom